First-principles (PBE) data for a relaxed CuIrI4 crystal, as listed in the Alexandria database.

a = 4.025 Å, b = 6.966 Å, c = 7.134 Å
α = 97.57°, β = 90.00°, γ = 106.79°
Positions (direct):
I (0.388, 0.776, 0.154)
I (0.612, 0.224, 0.846)
I (0.888, 0.776, 0.615)
I (0.112, 0.224, 0.385)
Cu (0.000, 0.000, 0.000)
Ir (0.500, 0.000, 0.500)

Calculated values
Its symmetry is C2/m. The total moment is 0.0 μB per cell. For the calculated total energy, the calculation gives -19.4 eV per cell.



First-principles (PBE) data for a relaxed Cu2IrI6 crystal, as listed in the Alexandria database.

a = 7.072 Å, b = 9.976 Å, c = 9.976 Å
α = 81.72°, β = 79.64°, γ = 79.64°
Positions (direct):
Ir (0.250, 0.075, 0.925)
Ir (0.750, 0.925, 0.075)
I (0.643, 0.674, 0.101)
I (0.143, 0.101, 0.674)
I (0.484, 0.685, 0.555)
I (0.357, 0.326, 0.899)
I (0.880, 0.169, 0.031)
I (0.984, 0.555, 0.685)
I (0.857, 0.899, 0.326)
I (0.016, 0.445, 0.315)
I (0.516, 0.315, 0.445)
I (0.120, 0.831, 0.969)
I (0.380, 0.031, 0.169)
I (0.620, 0.969, 0.831)
Cu (0.142, 0.341, 0.541)
Cu (0.642, 0.541, 0.341)
Cu (0.358, 0.459, 0.659)
Cu (0.858, 0.659, 0.459)

Calculated values
Its symmetry is C2/c. The total moment is 0.0 μB per cell. For the calculated total energy, the calculation gives -54.5 eV per cell.



First-principles (PBE) data for a relaxed La8CuIr3I4 crystal, as listed in the Alexandria database.

a = 8.559 Å, b = 9.624 Å, c = 8.562 Å
α = 116.43°, β = 119.99°, γ = 90.00°
Positions (direct):
La (0.766, 0.314, 0.533)
La (0.234, 0.686, 0.952)
La (0.234, 0.686, 0.467)
La (0.719, 0.686, 0.952)
La (0.729, 0.687, 0.458)
La (0.271, 0.313, 0.542)
La (0.766, 0.314, 0.048)
La (0.281, 0.314, 0.048)
Ir (0.500, 0.500, 0.500)
Ir (0.500, 0.500, 0.000)
Ir (0.000, 0.500, 0.500)
I (0.000, 0.000, 0.000)
I (0.500, 0.000, 0.500)
I (0.500, 0.000, 0.000)
I (0.000, 0.000, 0.500)
Cu (0.000, 0.500, 0.000)

Calculated values
Its symmetry is R-3m. The total moment is 0.0 μB per cell. For the calculated total energy, the calculation gives -92.0 eV per cell.